This record from the Open Quantum Materials Database describes an optimized crystal structure of CdHgPO. The functional is PBE.

Lattice parameters (Å, degrees): 4.2976 4.2976 8.7630 90.00 90.00 90.00
Last column: nearest neighbours and their distance in Å.
Sites, in units of the cell vectors:
Cd 0.2500 0.2500 0.0678  4 O 2.23
Cd 0.7500 0.7500 0.9322  4 O 2.23
Hg 0.2500 0.7500 0.5000  4 P 2.68
Hg 0.7500 0.2500 0.5000  4 P 2.68
P 0.2500 0.2500 0.6837  4 Hg 2.68
P 0.7500 0.7500 0.3163  4 Hg 2.68
O 0.2500 0.7500 0.0000  4 Cd 2.23
O 0.7500 0.2500 0.0000  4 Cd 2.23

Summary:
The value obtained for the electronic total energy is -2.868 eV/atom. Its energy above the most stable polymorph in this dataset is 143 meV/atom.